Record 1
Here is a relaxed CaMnSe crystal from Alexandria. Energies are from GGA-PBE.

```
data_CaMnSe
_chemical_formula_sum 'Ca2 Mn2 Se2'
_cell_length_a 4.691
_cell_length_b 5.356
_cell_length_c 6.487
_cell_angle_alpha 84.61
_cell_angle_beta 78.21
_cell_angle_gamma 66.10
_space_group_name_H-M_alt 'P 1'
_space_group_IT_number 1
loop_
_space_group_symop_operation_xyz
'x,y,z'
loop_
_atom_site_label
_atom_site_fract_x
_atom_site_fract_y
_atom_site_fract_z
_atom_site_occupancy
Ca1 0.000 0.000 0.000 1
Ca2 0.344 0.628 0.479 1
Mn1 0.366 0.350 0.910 1
Mn2 0.723 0.632 0.884 1
Se1 0.635 0.019 0.630 1
Se2 0.967 0.487 0.216 1
```

Calculated values
**E**: -5.39 eV per atom
**DOS at the Fermi energy**: 0.692 states/eV/atom
**Energy relative to the elements, uncorrected**: -0.504 eV/atom

***

Record 2
Here is a relaxed SbPb6Au4 crystal from Alexandria. Energies are from GGA-PBE.

```
data_SbPb6Au4
_chemical_formula_sum 'Sb2 Pb12 Au8'
_cell_length_a 9.9221
_cell_length_b 9.9221
_cell_length_c 7.2590
_cell_angle_alpha 90.00
_cell_angle_beta 90.00
_cell_angle_gamma 120.00
_space_group_name_H-M_alt 'P 63 m c'
_space_group_IT_number 186
_space_group_name_Hall 'P 6c -2c'
loop_
_atom_site_label
_atom_site_fract_x
_atom_site_fract_y
_atom_site_fract_z
_atom_site_occupancy
Sb1 0.3333 0.6667 0.0000 1
Pb1 0.0685 0.5342 0.3590 1
Pb2 0.1424 0.2848 0.6698 1
Au1 0.1762 0.3524 0.0719 1
Au2 0.3333 0.6667 0.6244 1
```

Calculated values
**E**: -3.64 eV per atom
**DOS at the Fermi energy**: 0.309 states/eV/atom
**Energy relative to the elements, uncorrected**: -0.054 eV/atom

***

Record 3
Here is a relaxed Ce2GaSi crystal from Alexandria. Energies are from GGA-PBE.

```
data_Ce2GaSi
_chemical_formula_sum 'Ce8 Ga4 Si4'
_cell_length_a 7.212
_cell_length_b 7.212
_cell_length_c 7.212
_cell_angle_alpha 90.00
_cell_angle_beta 90.00
_cell_angle_gamma 90.00
_space_group_name_H-M_alt 'F m -3 m'
_space_group_IT_number 225
_space_group_name_Hall '-F 4 2 3'
loop_
_atom_site_label
_atom_site_fract_x
_atom_site_fract_y
_atom_site_fract_z
_atom_site_occupancy
Ce1 0.250 0.250 0.250 1
Ga1 0.000 0.000 0.000 1
Si1 0.000 0.000 0.500 1
```

Calculated values
**E**: -5.51 eV per atom
**DOS at the Fermi energy**: 2.742 states/eV/atom
**Energy relative to the elements, uncorrected**: -0.427 eV/atom

***

Record 4
Here is a relaxed Pm2Nd5Tm12 crystal from Alexandria. Energies are from GGA-PBE.

```
data_Pm2Nd5Tm12
_chemical_formula_sum 'Pm2 Nd5 Tm12'
_cell_length_a 6.153
_cell_length_b 9.413
_cell_length_c 11.225
_cell_angle_alpha 90.11
_cell_angle_beta 100.71
_cell_angle_gamma 108.87
_space_group_name_H-M_alt 'P -1'
_space_group_IT_number 2
loop_
_space_group_symop_operation_xyz
'x,y,z'
'-x,-y,-z'
loop_
_atom_site_label
_atom_site_fract_x
_atom_site_fract_y
_atom_site_fract_z
_atom_site_occupancy
Pm1 0.235 0.157 0.473 1
Nd1 0.026 0.684 0.054 1
Nd2 0.289 0.527 0.580 1
Nd3 0.500 0.000 0.000 1
Tm1 0.080 0.053 0.159 1
Tm2 0.131 0.421 0.262 1
Tm3 0.188 0.792 0.368 1
Tm4 0.343 0.895 0.686 1
Tm5 0.394 0.262 0.789 1
Tm6 0.449 0.632 0.895 1
```

Calculated values
**E**: -4.55 eV per atom
**DOS at the Fermi energy**: 1.400 states/eV/atom

***

Record 5
Here is a relaxed Ce7PbAu2 crystal from Alexandria. Energies are from GGA-PBE.

```
data_Ce7PbAu2
_chemical_formula_sum 'Ce14 Pb2 Au4'
_cell_length_a 8.484
_cell_length_b 15.159
_cell_length_c 5.167
_cell_angle_alpha 90.00
_cell_angle_beta 90.00
_cell_angle_gamma 90.00
_space_group_name_H-M_alt 'C m m m'
_space_group_IT_number 65
_space_group_name_Hall '-C 2 2'
loop_
_atom_site_label
_atom_site_fract_x
_atom_site_fract_y
_atom_site_fract_z
_atom_site_occupancy
Ce1 0.000 0.000 0.000 1
Ce2 0.000 0.271 0.500 1
Ce3 0.163 0.385 0.000 1
Pb1 0.000 0.500 0.500 1
Au1 0.000 0.192 0.000 1
```

Calculated values
**E**: -5.14 eV per atom
**DOS at the Fermi energy**: 3.616 states/eV/atom

***

Record 6
Here is a relaxed PmErGaPb crystal from Alexandria. Energies are from GGA-PBE.

```
data_PmErGaPb
_chemical_formula_sum 'Pm4 Er4 Ga4 Pb4'
_cell_length_a 7.517
_cell_length_b 7.517
_cell_length_c 7.517
_cell_angle_alpha 90.00
_cell_angle_beta 90.00
_cell_angle_gamma 90.00
_space_group_name_H-M_alt 'F -4 3 m'
_space_group_IT_number 216
_space_group_name_Hall 'F -4 2 3'
loop_
_atom_site_label
_atom_site_fract_x
_atom_site_fract_y
_atom_site_fract_z
_atom_site_occupancy
Pm1 0.000 0.000 0.000 1
Er1 0.000 0.000 0.500 1
Ga1 0.250 0.250 0.750 1
Pb1 0.250 0.250 0.250 1
```

Calculated values
**E**: -4.44 eV per atom
**DOS at the Fermi energy**: 0.663 states/eV/atom

***

Record 7
Here is a relaxed HoTmGaPd crystal from Alexandria. Energies are from GGA-PBE.

```
data_HoTmGaPd
_chemical_formula_sum 'Ho4 Tm4 Ga4 Pd4'
_cell_length_a 7.036
_cell_length_b 7.036
_cell_length_c 7.036
_cell_angle_alpha 90.00
_cell_angle_beta 90.00
_cell_angle_gamma 90.00
_space_group_name_H-M_alt 'F -4 3 m'
_space_group_IT_number 216
_space_group_name_Hall 'F -4 2 3'
loop_
_atom_site_label
_atom_site_fract_x
_atom_site_fract_y
_atom_site_fract_z
_atom_site_occupancy
Ho1 0.000 0.000 0.000 1
Tm1 0.000 0.000 0.500 1
Ga1 0.250 0.250 0.250 1
Pd1 0.250 0.250 0.750 1
```

Calculated values
**E**: -5.05 eV per atom
**DOS at the Fermi energy**: 0.860 states/eV/atom

***

Record 8
Here is a relaxed Li3GeSb crystal from Alexandria. Energies are from GGA-PBE.

```
data_Li3GeSb
_chemical_formula_sum 'Li12 Ge4 Sb4'
_cell_length_a 5.382
_cell_length_b 8.845
_cell_length_c 9.070
_cell_angle_alpha 90.00
_cell_angle_beta 90.00
_cell_angle_gamma 90.00
_space_group_name_H-M_alt 'I m m a'
_space_group_IT_number 74
_space_group_name_Hall '-I 2b 2'
loop_
_atom_site_label
_atom_site_fract_x
_atom_site_fract_y
_atom_site_fract_z
_atom_site_occupancy
Li1 0.000 0.250 0.001 1
Li2 0.250 0.019 0.250 1
Ge1 0.000 0.250 0.707 1
Sb1 0.000 0.250 0.410 1
```

Calculated values
**E**: -3.16 eV per atom
**DOS at the Fermi energy**: 0.241 states/eV/atom
**Energy relative to the elements, uncorrected**: -0.268 eV/atom

***

Record 9
Here is a relaxed NaCaZnAg crystal from Alexandria. Energies are from GGA-PBE.

```
data_NaCaZnAg
_chemical_formula_sum 'Na4 Ca4 Zn4 Ag4'
_cell_length_a 7.302
_cell_length_b 7.302
_cell_length_c 7.302
_cell_angle_alpha 90.00
_cell_angle_beta 90.00
_cell_angle_gamma 90.00
_space_group_name_H-M_alt 'F -4 3 m'
_space_group_IT_number 216
_space_group_name_Hall 'F -4 2 3'
loop_
_atom_site_label
_atom_site_fract_x
_atom_site_fract_y
_atom_site_fract_z
_atom_site_occupancy
Na1 0.000 0.000 0.000 1
Ca1 0.000 0.000 0.500 1
Zn1 0.250 0.250 0.250 1
Ag1 0.250 0.250 0.750 1
```

Calculated values
**E**: -1.95 eV per atom
**DOS at the Fermi energy**: 0.629 states/eV/atom

***

Record 10
Here is a relaxed Tb6Y crystal from Alexandria. Energies are from GGA-PBE.

```
data_Tb6Y
_chemical_formula_sum 'Tb12 Y2'
_cell_length_a 6.500
_cell_length_b 6.500
_cell_length_c 11.035
_cell_angle_alpha 90.00
_cell_angle_beta 90.00
_cell_angle_gamma 90.00
_space_group_name_H-M_alt 'P 4/n b m'
_space_group_IT_number 125
loop_
_space_group_symop_operation_xyz
'x,y,z'
'-x,-y,-z'
'-y+1/2,x,z'
'y+1/2,-x,-z'
'-x+1/2,-y+1/2,z'
'x+1/2,y+1/2,-z'
'y,-x+1/2,z'
'-y,x+1/2,-z'
'x,-y+1/2,-z'
'-x,y+1/2,z'
'-y+1/2,-x+1/2,-z'
'y+1/2,x+1/2,z'
'-x+1/2,y,-z'
'x+1/2,-y,z'
'y,x,-z'
'-y,-x,z'
loop_
_atom_site_label
_atom_site_fract_x
_atom_site_fract_y
_atom_site_fract_z
_atom_site_occupancy
Tb1 0.082 0.582 0.138 1
Tb2 0.250 0.250 0.361 1
Y1 0.250 0.750 0.500 1
```

Calculated values
**E**: -4.64 eV per atom
**DOS at the Fermi energy**: 1.366 states/eV/atom

***

Record 11
Here is a relaxed HoURh2 crystal from Alexandria. Energies are from GGA-PBE.

```
data_HoURh2
_chemical_formula_sum 'Ho1 U1 Rh2'
_cell_length_a 3.378
_cell_length_b 3.378
_cell_length_c 6.997
_cell_angle_alpha 90.00
_cell_angle_beta 90.00
_cell_angle_gamma 90.00
_space_group_name_H-M_alt 'P 4/m m m'
_space_group_IT_number 123
_space_group_name_Hall '-P 4 2'
loop_
_atom_site_label
_atom_site_fract_x
_atom_site_fract_y
_atom_site_fract_z
_atom_site_occupancy
Ho1 0.000 0.000 0.000 1
U1 0.000 0.000 0.500 1
Rh1 0.500 0.500 0.265 1
```

Calculated values
**E**: -8.26 eV per atom
**DOS at the Fermi energy**: 0.852 states/eV/atom

***

Record 12
Here is a relaxed Zn2NiRu crystal from Alexandria. Energies are from GGA-PBE.

```
data_Zn2NiRu
_chemical_formula_sum 'Zn6 Ni3 Ru3'
_cell_length_a 2.6841
_cell_length_b 2.6841
_cell_length_c 25.9001
_cell_angle_alpha 90.00
_cell_angle_beta 90.00
_cell_angle_gamma 120.00
_space_group_name_H-M_alt 'R 3 m'
_space_group_IT_number 160
_space_group_name_Hall 'R 3 -2"'
loop_
_atom_site_label
_atom_site_fract_x
_atom_site_fract_y
_atom_site_fract_z
_atom_site_occupancy
Zn1 0.0000 0.0000 0.0000 1
Zn2 0.0000 0.0000 0.2423 1
Ni1 0.0000 0.0000 0.7453 1
Ru1 0.0000 0.0000 0.4896 1
```

Calculated values
**E**: -4.38 eV per atom
**DOS at the Fermi energy**: 0.792 states/eV/atom

***

Record 13
Here is a relaxed Zn3Ag5Au crystal from Alexandria. Energies are from GGA-PBE.

```
data_Zn3Ag5Au
_chemical_formula_sum 'Zn12 Ag20 Au4'
_cell_length_a 9.036
_cell_length_b 7.491
_cell_length_c 10.485
_cell_angle_alpha 90.00
_cell_angle_beta 100.61
_cell_angle_gamma 90.00
_space_group_name_H-M_alt 'C 1 2/m 1'
_space_group_IT_number 12
loop_
_space_group_symop_operation_xyz
'x,y,z'
'-x,-y,-z'
'-x,y,-z'
'x,-y,z'
'x+1/2,y+1/2,z'
'-x+1/2,-y+1/2,-z'
'-x+1/2,y+1/2,-z'
'x+1/2,-y+1/2,z'
loop_
_atom_site_label
_atom_site_fract_x
_atom_site_fract_y
_atom_site_fract_z
_atom_site_occupancy
Zn1 0.000 0.000 0.000 1
Zn2 0.000 0.000 0.500 1
Zn3 0.238 0.500 0.045 1
Zn4 0.242 0.000 0.388 1
Ag1 0.000 0.325 0.500 1
Ag2 0.010 0.500 0.854 1
Ag3 0.215 0.500 0.360 1
Ag4 0.224 0.202 0.174 1
Au1 0.031 0.000 0.756 1
```

Calculated values
**E**: -2.23 eV per atom
**DOS at the Fermi energy**: 0.292 states/eV/atom

***

Record 14
Here is a relaxed AcNiGe2 crystal from Alexandria. Energies are from GGA-PBE.

```
data_AcNiGe2
_chemical_formula_sum 'Ac3 Ni3 Ge6'
_cell_length_a 4.1447
_cell_length_b 4.1447
_cell_length_c 17.0488
_cell_angle_alpha 90.00
_cell_angle_beta 90.00
_cell_angle_gamma 120.00
_space_group_name_H-M_alt 'R -3 m'
_space_group_IT_number 166
_space_group_name_Hall '-R 3 2"'
loop_
_atom_site_label
_atom_site_fract_x
_atom_site_fract_y
_atom_site_fract_z
_atom_site_occupancy
Ac1 0.0000 0.0000 0.0000 1
Ni1 0.0000 0.0000 0.5000 1
Ge1 0.0000 0.0000 0.2100 1
```

Calculated values
**E**: -5.39 eV per atom
**DOS at the Fermi energy**: 0.220 states/eV/atom

***

Record 15
Here is a relaxed SbTeAs2 crystal from Alexandria. Energies are from GGA-PBE.

```
data_SbTeAs2
_chemical_formula_sum 'Sb1 Te1 As2'
_cell_length_a 3.584
_cell_length_b 3.584
_cell_length_c 7.194
_cell_angle_alpha 90.00
_cell_angle_beta 90.00
_cell_angle_gamma 90.00
_space_group_name_H-M_alt 'P 4/m m m'
_space_group_IT_number 123
_space_group_name_Hall '-P 4 2'
loop_
_atom_site_label
_atom_site_fract_x
_atom_site_fract_y
_atom_site_fract_z
_atom_site_occupancy
Sb1 0.000 0.000 0.000 1
Te1 0.000 0.000 0.500 1
As1 0.500 0.500 0.240 1
```

Calculated values
**E**: -3.79 eV per atom
**DOS at the Fermi energy**: 0.248 states/eV/atom
**Energy relative to the elements, uncorrected**: 0.346 eV/atom

***

Record 16
Here is a relaxed BeTcMo crystal from Alexandria. Energies are from GGA-PBE.

```
data_BeTcMo
_chemical_formula_sum 'Be4 Tc4 Mo4'
_cell_length_a 3.246
_cell_length_b 4.284
_cell_length_c 11.356
_cell_angle_alpha 90.00
_cell_angle_beta 90.00
_cell_angle_gamma 90.00
_space_group_name_H-M_alt 'F m m 2'
_space_group_IT_number 42
_space_group_name_Hall 'F 2 -2'
loop_
_atom_site_label
_atom_site_fract_x
_atom_site_fract_y
_atom_site_fract_z
_atom_site_occupancy
Be1 0.000 0.000 0.000 1
Tc1 0.000 0.000 0.350 1
Mo1 0.000 0.000 0.658 1
```

Calculated values
**E**: -8.19 eV per atom
**DOS at the Fermi energy**: 0.791 states/eV/atom

***

Record 17
Here is a relaxed LiPrYAg crystal from Alexandria. Energies are from GGA-PBE.

```
data_LiPrYAg
_chemical_formula_sum 'Li4 Pr4 Y4 Ag4'
_cell_length_a 7.475
_cell_length_b 7.475
_cell_length_c 7.475
_cell_angle_alpha 90.00
_cell_angle_beta 90.00
_cell_angle_gamma 90.00
_space_group_name_H-M_alt 'F -4 3 m'
_space_group_IT_number 216
_space_group_name_Hall 'F -4 2 3'
loop_
_atom_site_label
_atom_site_fract_x
_atom_site_fract_y
_atom_site_fract_z
_atom_site_occupancy
Li1 0.000 0.000 0.000 1
Pr1 0.250 0.250 0.750 1
Y1 0.250 0.250 0.250 1
Ag1 0.000 0.000 0.500 1
```

Calculated values
**E**: -4.08 eV per atom
**DOS at the Fermi energy**: 1.300 states/eV/atom

***

Record 18
Here is a relaxed RbAsPbI6 crystal from Alexandria. Energies are from GGA-PBE.

```
data_RbAsPbI6
_chemical_formula_sum 'Rb1 As1 Pb1 I6'
_cell_length_a 8.0110
_cell_length_b 8.0110
_cell_length_c 8.0413
_cell_angle_alpha 90.00
_cell_angle_beta 90.00
_cell_angle_gamma 120.00
_space_group_name_H-M_alt 'P 3 1 2'
_space_group_IT_number 149
loop_
_space_group_symop_operation_xyz
'x,y,z'
'-y,x-y,z'
'-x+y,-x,z'
'-y,-x,-z'
'-x+y,y,-z'
'x,x-y,-z'
loop_
_atom_site_label
_atom_site_fract_x
_atom_site_fract_y
_atom_site_fract_z
_atom_site_occupancy
Rb1 0.0000 0.0000 0.0000 1
As1 0.6667 0.3333 0.5000 1
Pb1 0.3333 0.6667 0.5000 1
I1 0.3868 0.0330 0.7162 1
```

Calculated values
**E**: -2.68 eV per atom
**DOS at the Fermi energy**: 0.000 states/eV/atom
**Energy relative to the elements, uncorrected**: -0.606 eV/atom

***

Record 19
Here is a relaxed VZnBi2 crystal from Alexandria. Energies are from GGA-PBE.

```
data_VZnBi2
_chemical_formula_sum 'V4 Zn4 Bi8'
_cell_length_a 6.393
_cell_length_b 6.393
_cell_length_c 12.513
_cell_angle_alpha 90.00
_cell_angle_beta 90.00
_cell_angle_gamma 90.00
_space_group_name_H-M_alt 'I -4 2 d'
_space_group_IT_number 122
_space_group_name_Hall 'I -4 2bw'
loop_
_atom_site_label
_atom_site_fract_x
_atom_site_fract_y
_atom_site_fract_z
_atom_site_occupancy
V1 0.000 0.000 0.000 1
Zn1 0.000 0.000 0.500 1
Bi1 0.236 0.250 0.125 1
```

Calculated values
**E**: -3.96 eV per atom
**DOS at the Fermi energy**: 1.015 states/eV/atom

***

Record 20
Here is a relaxed SmHoIn3 crystal from Alexandria. Energies are from GGA-PBE.

```
data_SmHoIn3
_chemical_formula_sum 'Sm4 Ho4 In12'
_cell_length_a 5.858
_cell_length_b 5.858
_cell_length_c 21.825
_cell_angle_alpha 90.00
_cell_angle_beta 90.00
_cell_angle_gamma 90.00
_space_group_name_H-M_alt 'I -4 m 2'
_space_group_IT_number 119
_space_group_name_Hall 'I -4 -2'
loop_
_atom_site_label
_atom_site_fract_x
_atom_site_fract_y
_atom_site_fract_z
_atom_site_occupancy
Sm1 0.000 0.000 0.085 1
Ho1 0.000 0.000 0.500 1
Ho2 0.000 0.500 0.750 1
In1 0.000 0.246 0.628 1
In2 0.000 0.500 0.006 1
```

Calculated values
**E**: -3.42 eV per atom
**DOS at the Fermi energy**: 0.814 states/eV/atom